A relaxed Tc2NiOs crystal, computed with PBE.

abc: 8.8480 8.8480 8.8480
angles: 17.59 17.59 17.59
Closest atoms and distances in Å follow each position.
Sites, in units of the cell vectors:
Tc  0.9978  0.9978  0.9978  3 Ni 2.63, 6 Tc 2.71, 3 Os 2.73
Os  0.7500  0.7500  0.7500  6 Os 2.71, 6 Tc 2.73
Ni  0.2500  0.2500  0.2500  6 Tc 2.63, 6 Ni 2.71
Tc  0.5022  0.5022  0.5022  3 Ni 2.63, 6 Tc 2.71, 3 Os 2.73

Summary:
- total magnetization (μB per cell) = 0.00
- formation energy (kJ/mol of formula units) = 49.2
- energy relative to the lowest polymorph listed for this composition (eV/atom) = 0.179